GGA-PBE Pr2MgSn4Ir3, optimized geometry; D(E_F) = 0.53 states/eV per atom; ΔH_f (0 K) = -0.54 eV/atom; M_tot = 0.000 μB/atom
1.0
-2.6098 -1.6986 -3.2379
-0.1208 -3.9359 2.1621
-9.1992 3.3811 5.6411
Pr Mg Sn Ir
2 1 4 3
Direct
0.5000 0.0000 0.2385
0.0000 0.5000 0.7615
0.5000 0.5000 0.5000
0.5000 0.5000 0.0000
0.0000 0.0000 0.0000
0.5000 0.0000 0.6421
0.0000 0.5000 0.3579
0.0000 0.0000 0.5000
0.5000 0.0000 0.8721
0.0000 0.5000 0.1279